HoEr2Al2Cd4 after structural relaxation, computed with PBE.

Results
**VASP energy**: -0.2296 Ry/atom
**Space-group type**: Amm2, No. 38
**Calculated volume**: 207.5 Å³ per cell

Unit cell a=4.5278 b=7.2774 c=7.2774 alpha=120.07 beta=90.00 gamma=90.00
Closest atoms and distances in Å follow each position.
Fractional coordinates of all 9 atoms:
Al (0.5000, 0.3332, 0.6671)  3 Cd 2.77
Cd (0.5000, 0.2522, 0.0000)  2 Al 2.77, 2 Cd 2.92
Er (0.0000, 0.0002, 0.5696)  4 Al 3.13, 3 Cd 3.13-3.23
Er (0.0000, 0.5696, 0.0002)  4 Al 3.13, 3 Cd 3.13-3.23
Cd (0.5000, 0.0000, 0.2522)  2 Al 2.77, 2 Cd 2.92
Cd (0.5000, 0.7479, 0.7479)  2 Al 2.77, 2 Cd 2.91
Al (0.5000, 0.6671, 0.3332)  3 Cd 2.77
Ho (0.0000, 0.4305, 0.4305)  4 Al 3.13, 3 Cd 3.13-3.23
Cd (0.0000, 0.9993, 0.9993)  6 Cd 2.91-2.92, 2 Er 3.13, 1 Ho 3.13


HoEr2Al2Zn3Cd after structural relaxation, computed with PBE.

Results
**VASP energy**: -0.2393 Ry/atom
**Space-group type**: Amm2, No. 38
**Calculated volume**: 187.1 Å³ per cell

Unit cell a=4.4580 b=6.9657 c=6.9657 alpha=120.11 beta=90.00 gamma=90.00
Closest atoms and distances in Å follow each position.
Fractional coordinates of all 9 atoms:
Cd (0.0000, 0.9989, 0.9989)  6 Zn 2.81-2.82, 2 Er 3.02, 1 Ho 3.02
Er (0.0000, 0.5666, 0.0004)  1 Cd 3.02, 4 Al 3.03, 2 Zn 3.14
Zn (0.5000, 0.2482, 0.0000)  2 Al 2.66-2.67, 2 Cd 2.82
Ho (0.0000, 0.4335, 0.4335)  1 Cd 3.02, 4 Al 3.04, 2 Zn 3.14
Er (0.0000, 0.0004, 0.5666)  1 Cd 3.02, 4 Al 3.03, 2 Zn 3.14
Al (0.5000, 0.3333, 0.6673)  3 Zn 2.66-2.67
Al (0.5000, 0.6673, 0.3333)  3 Zn 2.66-2.67
Zn (0.5000, 0.7519, 0.7519)  2 Al 2.67, 2 Cd 2.81
Zn (0.5000, 0.0000, 0.2482)  2 Al 2.66-2.67, 2 Cd 2.82